Entry 1:
DFT (GGA-PBE) results for CaTaPd2 after structural relaxation.

Calculated values
Total moment (μB per formula unit): 0.00
Distance to the lowest polymorph of the same formula (kcal/mol of atoms): 0.00

Unit cell a=3.3172 b=3.3172 c=7.1866 alpha=90.00 beta=90.00 gamma=90.00
Closest atoms and distances in Å follow each position.
Space group P4/mmm (No. 123)
Inequivalent atoms, fractional coordinates:
Ca: 0.0000 0.0000 0.0000 (multiplicity 1)  8 Pd 3.20, 4 Ca 3.32
Ta: 0.0000 0.0000 0.5000 (multiplicity 1)  8 Pd 2.74
Pd: 0.5000 0.5000 0.3020 (multiplicity 2)  4 Ta 2.74, 1 Pd 2.85

---

Entry 2:
DFT (GGA-PBE) results for CaTaPd2 after structural relaxation.

Calculated values
Total moment (μB per formula unit): 0.00
Distance to the lowest polymorph of the same formula (kcal/mol of atoms): 5.17

Unit cell a=6.6799 b=6.6799 c=6.6799 alpha=90.00 beta=90.00 gamma=90.00
Closest atoms and distances in Å follow each position.
Space group Fm-3m (No. 225)
Inequivalent atoms, fractional coordinates:
Ca: 0.0000 0.0000 0.0000 (multiplicity 4)  8 Pd 2.89
Ta: 0.0000 0.0000 0.5000 (multiplicity 4)  8 Pd 2.89
Pd: 0.2500 0.2500 0.2500 (multiplicity 8)  4 Ta 2.89, 4 Ca 2.89

---

Entry 3:
DFT (GGA-PBE) results for CaTa3Pd after structural relaxation.

Calculated values
Total moment (μB per formula unit): 0.00
Distance to the lowest polymorph of the same formula (kcal/mol of atoms): 30.14

Unit cell a=4.6827 b=4.6827 c=4.6827 alpha=90.00 beta=90.00 gamma=90.00
Closest atoms and distances in Å follow each position.
Space group Pm-3m (No. 221)
Inequivalent atoms, fractional coordinates:
Ca: 0.0000 0.0000 0.0000 (multiplicity 1)  6 Ta 2.34
Ta: 0.0000 0.0000 0.5000 (multiplicity 3)  2 Ca 2.34
Pd: 0.5000 0.5000 0.5000 (multiplicity 1)  12 Ta 3.31

---

Entry 4:
DFT (GGA-PBE) results for CaTa2Pd after structural relaxation.

Calculated values
Total moment (μB per formula unit): 0.00
Distance to the lowest polymorph of the same formula (kcal/mol of atoms): 0.00

Unit cell a=3.8837 b=3.8837 c=22.0703 alpha=90.00 beta=90.00 gamma=90.00
Closest atoms and distances in Å follow each position.
Space group I-42d (No. 122)
Inequivalent atoms, fractional coordinates:
Ca: 0.0000 0.0000 0.0000 (multiplicity 4)  4 Pd 2.75
Ta: 0.2389 0.2500 0.6250 (multiplicity 8)  4 Ta 2.69-2.81
Pd: 0.0000 0.0000 0.5000 (multiplicity 4)  4 Ca 2.75, 4 Ta 3.07

---

Entry 5:
DFT (GGA-PBE) results for CaTaPd2 after structural relaxation.

Calculated values
Total moment (μB per formula unit): 0.99
Distance to the lowest polymorph of the same formula (kcal/mol of atoms): 11.36

Unit cell a=7.4676 b=7.4676 c=6.1389 alpha=90.00 beta=90.00 gamma=90.00
Closest atoms and distances in Å follow each position.
Space group I-42d (No. 122)
Inequivalent atoms, fractional coordinates:
Ca: 0.0000 0.0000 0.0000 (multiplicity 4)  4 Pd 2.98, 2 Ta 3.07
Ta: 0.0000 0.0000 0.5000 (multiplicity 4)  4 Pd 2.54
Pd: 0.2064 0.2500 0.6250 (multiplicity 8)  2 Ta 2.54

---

Entry 6:
DFT (GGA-PBE) results for Ca2TaPd2 after structural relaxation.

Calculated values
E_tot (eV/cell): -54.36
Total moment (μB per formula unit): 0.00

Unit cell a=6.8740 b=6.8740 c=4.7470 alpha=90.00 beta=90.00 gamma=90.00
Closest atoms and distances in Å follow each position.
Space group P4/mbm (No. 127)
Inequivalent atoms, fractional coordinates:
Ca: 0.1738 0.3262 0.0000 (multiplicity 4)  6 Pd 2.98-3.22
Ta: 0.0000 0.0000 0.5000 (multiplicity 2)  4 Pd 2.65
Pd: 0.1403 0.6403 0.5000 (multiplicity 4)  2 Ta 2.65, 1 Pd 2.73

---

Entry 7:
DFT (GGA-PBE) results for Ca3TaPd after structural relaxation.

Calculated values
Total moment (μB per formula unit): 0.00
Distance to the lowest polymorph of the same formula (kcal/mol of atoms): 14.13

Unit cell a=5.4651 b=5.4651 c=5.4651 alpha=90.00 beta=90.00 gamma=90.00
Closest atoms and distances in Å follow each position.
Space group Pm-3m (No. 221)
Inequivalent atoms, fractional coordinates:
Ca: 0.0000 0.0000 0.5000 (multiplicity 3)  2 Ta 2.73
Ta: 0.0000 0.0000 0.0000 (multiplicity 1)  6 Ca 2.73
Pd: 0.5000 0.5000 0.5000 (multiplicity 1)  12 Ca 3.86

---

Entry 8:
DFT (GGA-PBE) results for CaTa3Pd after structural relaxation.

Calculated values
Total moment (μB per formula unit): 0.00
Distance to the lowest polymorph of the same formula (kcal/mol of atoms): 0.00

Unit cell a=4.9518 b=4.9518 c=4.9518 alpha=90.00 beta=90.00 gamma=90.00
Closest atoms and distances in Å follow each position.
Space group Pm-3m (No. 221)
Inequivalent atoms, fractional coordinates:
Ca: 0.0000 0.0000 0.0000 (multiplicity 1)  12 Ta 3.50
Ta: 0.0000 0.5000 0.5000 (multiplicity 3)  2 Pd 2.48
Pd: 0.5000 0.5000 0.5000 (multiplicity 1)  6 Ta 2.48